No. 1
First-principles (PBE) data for an optimized crystal structure of SrTlGa2Tc, as listed in Alexandria.

Summary:
Mass density = 6.91 g cm⁻³
ΔH_f (0 K) = -0.164 eV/atom

Unit cell a=4.9069 b=4.9069 c=5.2872 alpha=90.00 beta=90.00 gamma=90.00
Closest atoms and distances in Å follow each position.
Space group P4/mmm (No. 123)
Symmetry-distinct sites (fractional):
Sr: 0.0000 0.0000 0.0000 x1  4 Tl 3.47, 8 Ga 3.61
Tl: 0.5000 0.5000 0.0000 x1  2 Tc 2.64
Ga: 0.0000 0.5000 0.5000 x2  2 Tc 2.45
Tc: 0.5000 0.5000 0.5000 x1  4 Ga 2.45, 2 Tl 2.64


No. 2
First-principles (PBE) data for an optimized crystal structure of SrVGa2Tc, as listed in Alexandria.

Summary:
Mass density = 4.07 g cm⁻³
ΔH_f (0 K) = 2.167 eV/atom

Unit cell a=5.4492 b=5.4492 c=5.1727 alpha=90.00 beta=90.00 gamma=90.00
Closest atoms and distances in Å follow each position.
Space group P4/mmm (No. 123)
Symmetry-distinct sites (fractional):
Sr: 0.0000 0.0000 0.0000 x1  2 V 2.59, 4 Ga 2.72
V: 0.0000 0.0000 0.5000 x1  2 Sr 2.59
Ga: 0.0000 0.5000 0.0000 x2  2 Sr 2.72
Tc: 0.5000 0.5000 0.5000 x1  8 Ga 3.76, 4 V 3.85


No. 3
First-principles (PBE) data for an optimized crystal structure of SrGa2TcW, as listed in Alexandria.

Summary:
Mass density = 6.77 g cm⁻³
ΔH_f (0 K) = 2.858 eV/atom

Unit cell a=5.0625 b=5.0625 c=4.8716 alpha=90.00 beta=90.00 gamma=90.00
Closest atoms and distances in Å follow each position.
Space group P4/mmm (No. 123)
Symmetry-distinct sites (fractional):
Sr: 0.0000 0.0000 0.0000 x1  2 W 2.44, 4 Ga 2.53
Ga: 0.0000 0.5000 0.0000 x2  2 Sr 2.53
Tc: 0.5000 0.5000 0.5000 x1  8 Ga 3.51, 4 W 3.58
W: 0.0000 0.0000 0.5000 x1  2 Sr 2.44